DFT (GGA-PBE) results for a geometry-optimized Ba4Sn2O structure.

Unit cell a=5.652 b=16.303 c=5.321 alpha=90.00 beta=90.00 gamma=90.00
Space group Cmmm (No. 65)
One atom of each set of equivalent atoms:
Ba 0.000 0.000 0.000 (multiplicity 2)
Ba 0.000 0.172 0.500 (multiplicity 4)
Ba 0.000 0.500 0.500 (multiplicity 2)
Sn 0.000 0.343 0.000 (multiplicity 4)
O 0.000 0.000 0.500 (multiplicity 2)

Properties
The value obtained for the energy above the most stable polymorph in this dataset is 45 meV/atom. The uncorrected formation energy comes out at -1078 meV/atom.



DFT (GGA-PBE) results for a geometry-optimized Ba3SnO4 structure.

Unit cell a=9.372 b=7.115 c=5.710 alpha=90.00 beta=90.00 gamma=90.00
Space group Pmn2_1 (No. 31)
One atom of each set of equivalent atoms:
Ba 0.000 0.148 0.000 (multiplicity 2)
Ba 0.246 0.683 0.998 (multiplicity 4)
Sn 0.000 0.810 0.506 (multiplicity 2)
O 0.000 0.116 0.504 (multiplicity 2)
O 0.000 0.796 0.148 (multiplicity 2)
O 0.241 0.320 0.987 (multiplicity 4)

Properties
The uncorrected formation energy comes out at -2165 meV/atom.



DFT (GGA-PBE) results for a geometry-optimized BaSn4O8 structure.

Unit cell a=6.0914 b=6.0914 c=7.3798 alpha=90.00 beta=90.00 gamma=120.00
Space group P-31m (No. 162)
One atom of each set of equivalent atoms:
Ba 0.0000 0.0000 0.0000 (multiplicity 1)
Sn 0.3333 0.6667 0.2704 (multiplicity 4)
O 0.0000 0.3362 0.2967 (multiplicity 6)
O 0.3333 0.6667 0.0000 (multiplicity 2)

Properties
The uncorrected formation energy comes out at -1451 meV/atom.



DFT (GGA-PBE) results for a geometry-optimized Ba5SnO8 structure.

Unit cell a=7.906 b=7.906 c=8.746 alpha=90.00 beta=90.00 gamma=90.00
Space group I-4 (No. 82)
One atom of each set of equivalent atoms:
Ba 0.000 0.000 0.000 (multiplicity 2)
Ba 0.133 0.260 0.616 (multiplicity 8)
Sn 0.000 0.500 0.250 (multiplicity 2)
O 0.051 0.254 0.306 (multiplicity 8)
O 0.080 0.310 0.916 (multiplicity 8)

Properties
The uncorrected formation energy comes out at -1983 meV/atom.



DFT (GGA-PBE) results for a geometry-optimized Ba4Sn3O10 structure.

Unit cell a=6.063 b=13.557 c=14.093 alpha=90.00 beta=90.00 gamma=90.00
Space group Cmce (No. 64)
One atom of each set of equivalent atoms:
Ba 0.000 0.032 0.143 (multiplicity 8)
Ba 0.000 0.236 0.384 (multiplicity 8)
Sn 0.000 0.000 0.500 (multiplicity 4)
Sn 0.000 0.135 0.655 (multiplicity 8)
O 0.000 0.034 0.356 (multiplicity 8)
O 0.000 0.219 0.168 (multiplicity 8)
O 0.228 0.112 0.539 (multiplicity 16)
O 0.250 0.110 0.750 (multiplicity 8)

Properties
The value obtained for the energy above the most stable polymorph in this dataset is 49 meV/atom. The uncorrected formation energy comes out at -2185 meV/atom.



DFT (GGA-PBE) results for a geometry-optimized Ba12Sn5O2 structure.

Unit cell a=17.943 b=9.376 c=11.187 alpha=90.00 beta=108.92 gamma=90.00
Space group C2/m (No. 12)
One atom of each set of equivalent atoms:
Ba 0.019 0.000 0.200 (multiplicity 4)
Ba 0.031 0.500 0.687 (multiplicity 4)
Ba 0.140 0.217 0.553 (multiplicity 8)
Ba 0.167 0.263 0.087 (multiplicity 8)
Sn 0.000 0.500 0.000 (multiplicity 2)
Sn 0.171 0.000 0.837 (multiplicity 4)
Sn 0.222 0.000 0.344 (multiplicity 4)
O 0.000 0.324 0.500 (multiplicity 4)

Properties
The uncorrected formation energy comes out at -846 meV/atom.



DFT (GGA-PBE) results for a geometry-optimized Ba4Sn2O structure.

Unit cell a=8.420 b=7.709 c=8.978 alpha=90.00 beta=104.13 gamma=90.00
Space group P2_1/m (No. 11)
One atom of each set of equivalent atoms:
Ba 0.076 0.250 0.378 (multiplicity 2)
Ba 0.272 0.002 0.064 (multiplicity 4)
Ba 0.413 0.750 0.561 (multiplicity 2)
Sn 0.002 0.750 0.242 (multiplicity 2)
Sn 0.360 0.250 0.743 (multiplicity 2)
O 0.315 0.250 0.250 (multiplicity 2)

Properties
The value obtained for the energy above the most stable polymorph in this dataset is 0 meV/atom. The uncorrected formation energy comes out at -1123 meV/atom.



DFT (GGA-PBE) results for a geometry-optimized Ba2Sn3O8 structure.

Unit cell a=12.757 b=6.591 c=5.552 alpha=90.00 beta=110.10 gamma=90.00
Space group C2/m (No. 12)
One atom of each set of equivalent atoms:
Ba 0.217 0.000 0.168 (multiplicity 4)
Sn 0.000 0.240 0.500 (multiplicity 4)
Sn 0.000 0.500 0.000 (multiplicity 2)
O 0.092 0.500 0.403 (multiplicity 4)
O 0.094 0.284 0.886 (multiplicity 8)
O 0.104 0.000 0.479 (multiplicity 4)

Properties
The uncorrected formation energy comes out at -2059 meV/atom.



DFT (GGA-PBE) results for a geometry-optimized Ba6Sn2O structure.

Unit cell a=4.188 b=16.587 c=10.709 alpha=90.00 beta=90.00 gamma=90.00
Space group Amm2 (No. 38)
One atom of each set of equivalent atoms:
Ba 0.000 0.000 0.000 (multiplicity 2)
Ba 0.000 0.104 0.597 (multiplicity 4)
Ba 0.500 0.000 0.301 (multiplicity 2)
Ba 0.500 0.207 0.926 (multiplicity 4)
Sn 0.000 0.177 0.210 (multiplicity 4)
O 0.500 0.000 0.535 (multiplicity 2)

Properties
The uncorrected formation energy comes out at -762 meV/atom.



DFT (GGA-PBE) results for a geometry-optimized Ba7Sn3O2 structure.

Unit cell a=5.590 b=27.547 c=5.384 alpha=90.00 beta=90.00 gamma=90.00
Space group Cmmm (No. 65)
One atom of each set of equivalent atoms:
Ba 0.000 0.000 0.000 (multiplicity 2)
Ba 0.000 0.100 0.500 (multiplicity 4)
Ba 0.000 0.203 0.000 (multiplicity 4)
Ba 0.000 0.398 0.000 (multiplicity 4)
Sn 0.000 0.307 0.500 (multiplicity 4)
Sn 0.000 0.500 0.500 (multiplicity 2)
O 0.000 0.102 0.000 (multiplicity 4)

Properties
The uncorrected formation energy comes out at -1197 meV/atom.



DFT (GGA-PBE) results for a geometry-optimized Ba2SnO16 structure.

Unit cell a=6.568 b=6.975 c=7.875 alpha=101.69 beta=105.16 gamma=109.96
Space group P-1 (No. 2)
One atom of each set of equivalent atoms:
Ba 0.202 0.333 0.255 (multiplicity 2)
Sn 0.500 0.000 0.500 (multiplicity 1)
O 0.094 0.692 0.127 (multiplicity 2)
O 0.161 0.486 0.678 (multiplicity 2)
O 0.197 0.895 0.235 (multiplicity 2)
O 0.234 0.055 0.941 (multiplicity 2)
O 0.245 0.930 0.656 (multiplicity 2)
O 0.329 0.526 0.819 (multiplicity 2)
O 0.332 0.108 0.819 (multiplicity 2)
O 0.491 0.715 0.483 (multiplicity 2)

Properties
The uncorrected formation energy comes out at -705 meV/atom.



DFT (GGA-PBE) results for a geometry-optimized Ba6SnO2 structure.

Unit cell a=15.232 b=5.780 c=11.371 alpha=90.00 beta=128.82 gamma=90.00
Space group C2/m (No. 12)
One atom of each set of equivalent atoms:
Ba 0.015 0.000 0.321 (multiplicity 4)
Ba 0.165 0.500 0.214 (multiplicity 4)
Ba 0.210 0.500 0.867 (multiplicity 4)
Sn 0.000 0.000 0.000 (multiplicity 2)
O 0.198 0.000 0.848 (multiplicity 4)

Properties
The uncorrected formation energy comes out at -1226 meV/atom.



DFT (GGA-PBE) results for a geometry-optimized BaSn2O4 structure.

Unit cell a=6.588 b=6.588 c=11.211 alpha=90.00 beta=90.00 gamma=90.00
Space group I4_1/a (No. 88, origin choice 2)
One atom of each set of equivalent atoms:
Ba 0.000 0.250 0.125 (multiplicity 4)
Sn 0.000 0.000 0.500 (multiplicity 8)
O 0.151 0.022 0.332 (multiplicity 16)

Properties
The uncorrected formation energy comes out at -1582 meV/atom.



DFT (GGA-PBE) results for a geometry-optimized Ba5Sn2O structure.

Unit cell a=5.637 b=13.939 c=17.045 alpha=90.00 beta=90.00 gamma=90.00
Space group Cmcm (No. 63)
One atom of each set of equivalent atoms:
Ba 0.000 0.112 0.130 (multiplicity 8)
Ba 0.000 0.251 0.750 (multiplicity 4)
Ba 0.000 0.387 0.131 (multiplicity 8)
Sn 0.000 0.250 0.545 (multiplicity 8)
O 0.000 0.249 0.250 (multiplicity 4)

Properties
The uncorrected formation energy comes out at -857 meV/atom.



DFT (GGA-PBE) results for a geometry-optimized BaSn2O structure.

Unit cell a=5.752 b=5.752 c=15.581 alpha=90.00 beta=90.00 gamma=90.00
Space group I4_1/amd (No. 141, origin choice 2)
One atom of each set of equivalent atoms:
Ba 0.000 0.250 0.375 (multiplicity 4)
Sn 0.000 0.000 0.000 (multiplicity 8)
O 0.000 0.250 0.875 (multiplicity 4)

Properties
The uncorrected formation energy comes out at -513 meV/atom.



DFT (GGA-PBE) results for a geometry-optimized Ba4Sn3O10 structure.

Unit cell a=4.203 b=4.203 c=30.177 alpha=90.00 beta=90.00 gamma=90.00
Space group I4/mmm (No. 139)
One atom of each set of equivalent atoms:
Ba 0.000 0.000 0.069 (multiplicity 4)
Ba 0.000 0.000 0.203 (multiplicity 4)
Sn 0.000 0.000 0.361 (multiplicity 4)
Sn 0.000 0.000 0.500 (multiplicity 2)
O 0.000 0.000 0.292 (multiplicity 4)
O 0.000 0.000 0.431 (multiplicity 4)
O 0.000 0.500 0.000 (multiplicity 4)
O 0.000 0.500 0.138 (multiplicity 8)

Properties
The value obtained for the energy above the most stable polymorph in this dataset is 0 meV/atom. The uncorrected formation energy comes out at -2235 meV/atom.



DFT (GGA-PBE) results for a geometry-optimized Ba3SnO5 structure.

Unit cell a=7.446 b=7.446 c=12.529 alpha=90.00 beta=90.00 gamma=90.00
Space group I4/mcm (No. 140)
One atom of each set of equivalent atoms:
Ba 0.000 0.000 0.250 (multiplicity 4)
Ba 0.183 0.317 0.000 (multiplicity 8)
Sn 0.000 0.500 0.250 (multiplicity 4)
O 0.000 0.000 0.000 (multiplicity 4)
O 0.146 0.354 0.349 (multiplicity 16)

Properties
The uncorrected formation energy comes out at -2268 meV/atom.



DFT (GGA-PBE) results for a geometry-optimized Ba4Sn2O structure.

Unit cell a=5.508 b=5.508 c=17.621 alpha=90.00 beta=90.00 gamma=90.00
Space group I4/mmm (No. 139)
One atom of each set of equivalent atoms:
Ba 0.000 0.000 0.167 (multiplicity 4)
Ba 0.000 0.500 0.000 (multiplicity 4)
Sn 0.000 0.000 0.369 (multiplicity 4)
O 0.000 0.000 0.000 (multiplicity 2)

Properties
The value obtained for the energy above the most stable polymorph in this dataset is 48 meV/atom. The uncorrected formation energy comes out at -1074 meV/atom.



DFT (GGA-PBE) results for a geometry-optimized Ba2Sn3O7 structure.

Unit cell a=3.872 b=4.061 c=13.680 alpha=90.00 beta=90.00 gamma=90.00
Space group Pmmm (No. 47)
One atom of each set of equivalent atoms:
Ba 0.000 0.000 0.208 (multiplicity 2)
Sn 0.500 0.500 0.000 (multiplicity 1)
Sn 0.500 0.500 0.395 (multiplicity 2)
O 0.000 0.500 0.337 (multiplicity 2)
O 0.500 0.000 0.000 (multiplicity 1)
O 0.500 0.000 0.348 (multiplicity 2)
O 0.500 0.500 0.144 (multiplicity 2)

Properties
The uncorrected formation energy comes out at -1771 meV/atom.